# 1
DFT (PBE-GGA) results for crystalline CdPb2F6 at its relaxed geometry.

Geometry as POSCAR:
```
CdPb2F6
1.0
-5.631 -0.032 -2.782
-2.873 -2.213 5.840
-0.610 7.549 2.561
Pb F Cd
4 12 2
Cartesian
-5.964 3.667 5.910
-1.859 0.666 4.021
-3.151 1.638 -0.292
-7.255 4.639 1.597
-7.402 2.652 2.918
-5.193 0.897 1.236
-1.668 5.469 1.847
-4.468 6.693 1.847
-6.951 5.666 3.797
-4.574 3.944 0.268
-3.922 4.407 4.382
-7.446 -0.164 3.772
-4.541 1.360 5.351
-4.647 -1.389 3.772
-1.713 2.653 2.701
-2.163 -0.361 1.822
-4.252 -1.123 1.529
-0.305 3.775 1.280
```

- Formation energy (no corrections): -20.5 eV per formula unit
- Energy relative to the lowest polymorph listed for this composition: 4.3 kJ per mole of atoms
- Size of the total moment: 0.00 Bohr magnetons per cell
- Energy: -4.45 eV/atom
- Crystal system: monoclinic
- ρ: 6.18 g/cm³

# 2
DFT (PBE-GGA) results for crystalline CdPb2F6 at its relaxed geometry.

Geometry as POSCAR:
```
CdPb2F6
1.0
3.947 0.000 -1.276
-0.860 5.105 -2.662
0.112 0.397 7.089
Cd Pb F
1 2 6
Cartesian
0.000 0.000 0.000
1.118 1.992 3.458
2.081 3.510 -0.306
0.307 2.147 0.950
3.337 0.710 3.580
1.315 3.911 -2.678
1.773 1.193 -1.260
-0.138 4.791 -0.429
2.892 3.354 2.201
```

- Formation energy (no corrections): -20.9 eV per formula unit
- Energy relative to the lowest polymorph listed for this composition: 0.0 kJ per mole of atoms
- Size of the total moment: 0.00 Bohr magnetons per cell
- Energy: -4.50 eV/atom
- Crystal system: orthorhombic
- ρ: 7.18 g/cm³

# 3
DFT (PBE-GGA) results for crystalline Cd2PbF7 at its relaxed geometry.

Geometry as POSCAR:
```
Cd2PbF7
1.0
-3.105 2.731 0.600
0.453 -0.900 6.441
3.751 4.783 -2.358
F Cd Pb
7 2 1
Cartesian
1.451 3.816 4.693
2.956 3.413 -0.237
1.248 0.470 4.320
-0.353 2.798 -0.010
2.262 5.213 2.530
-1.163 1.401 2.153
0.549 3.307 2.342
1.217 4.458 0.560
-0.118 2.156 4.123
0.000 0.000 0.000
```

- Formation energy (no corrections): -19.3 eV per formula unit
- Energy relative to the lowest polymorph listed for this composition: 8.5 kJ per mole of atoms
- Size of the total moment: 1.07 Bohr magnetons per cell
- Energy: -3.79 eV/atom
- Crystal system: orthorhombic
- ρ: 5.82 g/cm³

# 4
DFT (PBE-GGA) results for crystalline Cd2Pb2F7 at its relaxed geometry.

Geometry as POSCAR:
```
Cd2Pb2F7
1.0
5.674 -0.003 -0.135
0.003 5.822 0.002
-0.488 -0.002 5.655
F Pb Cd
7 2 2
Cartesian
2.838 1.456 -0.067
-0.242 4.364 2.829
2.593 1.416 2.760
0.000 0.000 0.000
5.430 1.454 2.693
2.595 4.402 2.762
2.351 4.361 5.589
3.964 2.907 4.219
1.224 2.910 1.303
4.011 5.820 1.432
1.177 -0.002 4.090
```

- Formation energy (no corrections): -22.8 eV per formula unit
- Energy relative to the lowest polymorph listed for this composition: 3.1 kJ per mole of atoms
- Size of the total moment: 0.00 Bohr magnetons per cell
- Energy: -4.11 eV/atom
- Crystal system: orthorhombic
- ρ: 6.88 g/cm³

# 5
DFT (PBE-GGA) results for crystalline Cd2PbF at its relaxed geometry.

Geometry as POSCAR:
```
Cd2PbF
1.0
0.000 3.559 3.559
3.559 0.000 3.559
3.559 3.559 0.000
Cd F Pb
2 1 1
Cartesian
5.339 5.339 5.339
1.780 1.780 1.780
0.000 0.000 0.000
3.559 3.559 3.559
```

- Formation energy (no corrections): -1.8 eV per formula unit
- Energy relative to the lowest polymorph listed for this composition: 21.2 kJ per mole of atoms
- Size of the total moment: 0.00 Bohr magnetons per cell
- Energy: -2.30 eV/atom
- Crystal system: cubic
- ρ: 8.31 g/cm³

# 6
DFT (PBE-GGA) results for crystalline CdPb3F6 at its relaxed geometry.

Geometry as POSCAR:
```
CdPb3F6
1.0
-3.230 -4.709 1.445
6.673 -3.538 3.387
-3.824 4.421 5.861
F Pb Cd
12 6 2
Cartesian
-2.346 0.249 3.328
3.735 -2.097 4.155
-0.561 -2.344 7.035
-3.211 -0.409 6.133
1.595 -0.400 6.185
-5.401 0.959 6.677
5.661 -3.850 3.729
-1.416 -2.609 4.257
0.110 -5.192 3.091
0.740 -0.665 3.407
-0.964 0.677 7.813
1.491 -4.764 7.576
-3.890 -3.177 3.425
-2.114 -2.627 9.189
0.531 -2.951 2.041
-0.405 -4.536 5.663
-0.875 -0.600 5.432
2.307 -2.400 7.805
-5.331 -1.524 6.893
3.399 -4.564 4.494
```

- Formation energy (no corrections): -20.2 eV per formula unit
- Size of the total moment: 0.00 Bohr magnetons per cell
- Energy: -4.34 eV/atom
- Crystal system: orthorhombic
- ρ: 7.34 g/cm³

# 7
DFT (PBE-GGA) results for crystalline CdPb2F11 at its relaxed geometry.

Geometry as POSCAR:
```
CdPb2F11
1.0
-5.125 0.772 -6.524
-4.108 -6.902 -2.911
-8.300 1.485 1.375
F Pb Cd
22 4 2
Cartesian
-6.737 -1.025 -2.575
-14.824 -4.706 -7.299
-5.365 -0.473 -0.036
-8.958 -5.853 -5.423
0.000 0.000 0.000
-12.533 -1.437 -5.161
-8.847 -1.963 -6.820
-8.575 1.208 -2.636
-5.001 -3.208 -2.898
-10.617 -0.528 -1.238
-10.797 -3.620 -5.484
-6.916 -4.117 -6.822
-8.686 -2.682 -1.240
-9.499 -4.635 -7.968
-4.366 -0.945 -4.428
-2.709 0.061 -0.761
-13.168 -3.699 -3.631
-8.034 -0.010 -0.091
-8.767 -2.322 -4.030
-10.073 -0.671 -3.888
-7.460 -3.974 -4.171
-12.168 -4.171 -8.023
-11.734 0.466 -4.902
-8.736 -0.791 -2.085
-8.797 -3.854 -5.974
-5.799 -5.111 -3.157
-13.150 -3.484 -6.044
-4.383 -1.161 -2.015
```

- Formation energy (no corrections): -24.5 eV per formula unit
- Size of the total moment: 2.17 Bohr magnetons per cell
- Energy: -3.81 eV/atom
- Crystal system: orthorhombic
- ρ: 5.28 g/cm³

# 8
DFT (PBE-GGA) results for crystalline Cd3PbF6 at its relaxed geometry.

Geometry as POSCAR:
```
Cd3PbF6
1.0
3.599 0.000 0.000
0.000 9.497 -1.133
0.000 -4.147 10.615
Cd F Pb
6 12 2
Cartesian
2.699 1.603 9.505
0.900 5.017 8.419
0.900 3.747 -0.022
0.900 1.040 4.872
2.699 0.334 1.063
2.699 4.310 4.611
0.900 6.189 4.763
2.699 2.664 0.938
0.900 -2.063 8.890
0.900 0.315 2.721
0.900 -0.111 6.832
2.699 -0.839 4.719
2.699 5.036 6.761
0.900 3.225 3.877
2.699 2.125 5.606
2.699 5.462 2.651
0.900 2.686 8.545
2.699 7.413 0.592
0.900 7.127 2.341
2.699 -1.777 7.141
```

- Formation energy (no corrections): -19.6 eV per formula unit
- Size of the total moment: 0.00 Bohr magnetons per cell
- Energy: -3.73 eV/atom
- Crystal system: monoclinic
- ρ: 6.32 g/cm³

# 9
DFT (PBE-GGA) results for crystalline Cd2Pb2F7 at its relaxed geometry.

Geometry as POSCAR:
```
Cd2Pb2F7
1.0
-3.284 3.537 -6.615
-7.296 -2.479 -2.771
-6.543 4.862 0.779
F Cd Pb
14 4 4
Cartesian
-6.715 1.214 -1.086
-5.718 3.271 -5.549
-9.244 5.891 -5.129
-9.650 1.935 -7.043
-8.562 2.960 -4.304
-7.474 3.985 -1.565
-4.865 3.988 -2.859
-1.847 1.746 -3.218
-12.843 4.440 -6.456
-3.350 2.357 0.192
-7.880 0.030 -3.478
-5.212 0.603 -4.496
-3.697 -1.028 -1.445
-11.406 2.649 -3.058
-5.412 3.171 -0.686
-2.140 0.740 -1.076
-3.783 2.508 -4.384
-5.789 -0.499 -2.462
-7.054 4.939 -3.994
-7.431 1.269 -5.769
-10.702 3.700 -5.380
-9.060 1.932 -2.072
```

- Formation energy (no corrections): -23.2 eV per formula unit
- Energy relative to the lowest polymorph listed for this composition: 0.0 kJ per mole of atoms
- Size of the total moment: 0.00 Bohr magnetons per cell
- Energy: -4.14 eV/atom
- Crystal system: cubic
- ρ: 6.60 g/cm³

# 10
DFT (PBE-GGA) results for crystalline CdPbF3 at its relaxed geometry.

Geometry as POSCAR:
```
CdPbF3
1.0
4.029 0.000 0.000
0.000 7.013 -1.096
-2.014 -1.297 7.216
F Pb Cd
6 2 2
Cartesian
0.000 1.385 0.363
2.014 6.412 1.120
0.000 -0.695 5.000
2.014 4.332 5.757
0.000 3.600 2.488
2.014 2.117 3.632
0.000 1.073 2.715
2.014 4.643 3.405
0.000 0.895 6.580
2.014 4.822 -0.460
```

- Formation energy (no corrections): -10.1 eV per formula unit
- Size of the total moment: 0.00 Bohr magnetons per cell
- Energy: -4.06 eV/atom
- Crystal system: monoclinic
- ρ: 6.31 g/cm³

# 11
DFT (PBE-GGA) results for crystalline Cd2Pb5F12 at its relaxed geometry.

Geometry as POSCAR:
```
Cd2Pb5F12
1.0
6.158 0.000 0.000
-3.079 7.084 0.110
0.000 -2.359 7.914
F Pb Cd
12 5 2
Cartesian
1.465 0.881 4.591
4.692 0.881 4.591
-1.535 2.400 7.157
-1.613 3.844 3.433
0.000 5.414 5.507
3.079 6.570 1.588
1.543 2.325 0.867
4.614 2.325 0.867
3.079 -0.689 2.517
1.535 2.400 7.157
1.613 3.844 3.433
0.000 -1.845 6.436
3.079 1.673 2.827
0.000 4.139 1.410
0.000 -1.180 3.957
3.079 0.586 6.614
0.000 3.052 5.197
1.718 0.000 0.000
4.440 0.000 0.000
```

- Formation energy (no corrections): -40.6 eV per formula unit
- Size of the total moment: 0.00 Bohr magnetons per cell
- Energy: -4.39 eV/atom
- Crystal system: monoclinic
- ρ: 7.13 g/cm³

# 12
DFT (PBE-GGA) results for crystalline RbCdPb2F8 at its relaxed geometry.

Geometry as POSCAR:
```
RbCdPb2F8
1.0
4.198 -0.011 -0.002
0.011 5.874 -0.006
0.004 0.009 8.152
Pb F Rb Cd
2 8 1 1
Cartesian
2.108 2.939 6.157
2.106 2.934 1.988
4.201 1.550 1.748
2.108 4.174 4.071
2.109 4.477 -0.005
0.010 4.318 1.747
2.105 1.396 8.150
0.012 4.323 6.397
2.105 1.699 4.074
4.204 1.555 6.398
0.002 0.005 4.076
0.000 0.000 0.000
```

- Formation energy (no corrections): -27.3 eV per formula unit
- Size of the total moment: 0.00 Bohr magnetons per cell
- Energy: -4.30 eV/atom
- Crystal system: orthorhombic
- ρ: 6.31 g/cm³